This record from Alexandria via LeMat-Bulk describes a PBEsol-optimized structure of InSi. The functional is SCAN.

```
InSi
1.0
-1.2494 4.6620 0.4973
-3.1306 2.0177 -3.1098
-4.4721 1.1690 1.4752
In Si
2 2
Cartesian
-4.4261 3.9244 -0.5687
-6.6391 5.8865 -0.8530
0.0000 0.0000 0.0000
-2.2130 1.9622 -0.2843
```

* ΔE_f (raw): 0.65 eV per atom

This record from Alexandria via LeMat-Bulk describes a PBEsol-optimized structure of In5Si. The functional is SCAN.

```
In5Si
1.0
-1.4032 -1.9066 -2.3217
-2.2677 -1.0085 2.1988
-7.6380 9.7622 -3.4002
In Si
5 1
Cartesian
-6.5578 8.3815 -2.9193
-1.0803 1.3807 -0.4809
-7.0150 5.1624 -2.3672
-4.2940 1.6848 -1.1559
-3.8190 4.8811 -1.7001
-1.8355 -1.4575 -0.0614
```

* ΔE_f (raw): 0.24 eV per atom

This record from Alexandria via LeMat-Bulk describes a PBEsol-optimized structure of SrInSi2Sn. The functional is SCAN.

```
SrInSi2Sn
1.0
-4.7834 -0.2574 -1.5199
0.7762 -4.6832 -1.6498
-1.5582 -2.1118 5.2616
Sr Si Sn In
1 2 1 1
Cartesian
-0.7791 -1.0559 2.6308
0.3881 -2.3416 -0.8249
-2.3917 -0.1287 -0.7599
-2.7827 -3.5262 1.0460
0.0000 0.0000 0.0000
```

* ΔE_f (raw): 0.78 eV per atom

Question: Which value of ΔE_f (raw) does entry 2 give?
Answer: 0.24 eV per atom

Repeat the second record exactly.
This record from Alexandria via LeMat-Bulk describes a PBEsol-optimized structure of In5Si. The functional is SCAN.

```
In5Si
1.0
-1.4032 -1.9066 -2.3217
-2.2677 -1.0085 2.1988
-7.6380 9.7622 -3.4002
In Si
5 1
Cartesian
-6.5578 8.3815 -2.9193
-1.0803 1.3807 -0.4809
-7.0150 5.1624 -2.3672
-4.2940 1.6848 -1.1559
-3.8190 4.8811 -1.7001
-1.8355 -1.4575 -0.0614
```

* ΔE_f (raw): 0.24 eV per atom

Question: What is the ΔE_f (raw) in the second record?
Answer: 0.24 eV per atom

Question: Which value of ΔE_f (raw) does entry 3 give?
Answer: 0.78 eV per atom